# 1
Compound: Pr7Cd2Ru2
Source: Alexandria via LeMat-Bulk
Functional: PBE
Structure: optimized geometry

```
Pr7Cd2Ru2
1.0
6.993 -0.003 -0.950
0.003 7.366 0.003
-1.384 -0.002 6.920
Cd Ru Pr
2 2 7
Direct
0.171 0.500 0.171
0.829 0.500 0.829
0.703 0.000 0.297
0.297 0.000 0.703
0.000 0.747 0.500
0.000 0.253 0.500
0.500 0.253 0.000
0.500 0.758 0.500
0.000 0.000 0.000
0.500 0.747 0.000
0.500 0.242 0.500
```

Values from the calculation:
**ΔE_f**: -0.13 eV per atom
**Calculated total energy**: -55.25 eV for the cell shown
**Energy above the most stable polymorph in this dataset**: 44 meV/atom

---

# 2
Compound: Pr4Cd2Ru
Source: Alexandria via LeMat-Bulk
Functional: PBE
Structure: optimized geometry

```
Pr4Cd2Ru
1.0
3.740 0.000 0.000
0.000 9.060 -1.318
0.000 -5.858 7.356
Pr Cd Ru
4 2 1
Direct
0.500 0.882 0.744
0.000 0.705 0.969
0.500 0.261 0.399
0.000 0.438 0.174
0.500 0.859 0.359
0.500 0.284 0.784
0.000 0.071 0.071
```

Values from the calculation:
**ΔE_f**: -0.13 eV per atom
**Calculated total energy**: -31.12 eV for the cell shown
**Energy above the most stable polymorph in this dataset**: 0 meV/atom

---

# 3
Compound: Pr5CdRu2
Source: Alexandria via LeMat-Bulk
Functional: PBE
Structure: optimized geometry

```
Pr5CdRu2
1.0
7.282 0.000 -3.438
-1.623 7.099 -3.438
-0.186 -0.233 9.038
Pr Ru Cd
10 4 2
Direct
0.209 0.028 0.737
0.791 0.972 0.263
0.972 0.472 0.263
0.028 0.528 0.737
0.709 0.209 0.737
0.472 0.291 0.263
0.291 0.791 0.263
0.528 0.709 0.737
0.000 0.000 0.000
0.500 0.500 0.000
0.358 0.858 0.000
0.142 0.358 0.000
0.858 0.642 0.000
0.642 0.142 0.000
0.750 0.750 0.500
0.250 0.250 0.500
```

Values from the calculation:
**ΔE_f**: -0.22 eV per atom
**Calculated total energy**: -90.32 eV for the cell shown

---

# 4
Compound: Pr2CdRu
Source: Alexandria via LeMat-Bulk
Functional: PBE
Structure: optimized geometry

```
Pr2CdRu
1.0
3.597 0.000 0.000
0.000 3.597 0.000
0.000 0.000 8.005
Pr Ru Cd
2 1 1
Direct
0.000 0.000 0.784
0.000 0.000 0.216
0.500 0.500 0.000
0.500 0.500 0.500
```

Values from the calculation:
**ΔE_f**: -0.21 eV per atom
**Calculated total energy**: -20.59 eV for the cell shown
**Energy above the most stable polymorph in this dataset**: 0 meV/atom